This record from the Alexandria database describes a geometry-optimized Y2TlAg structure. The functional is PBE.

a b c (Å): 3.9519 3.9519 6.8603
angles (deg): 90.00 90.00 90.00
Space group P4mm (No. 99)
Inequivalent atoms, fractional coordinates:
Y 0.0000 0.0000 0.0000 x1
Y 0.5000 0.5000 0.3107 x1
Tl 0.5000 0.5000 0.7714 x1
Ag 0.0000 0.0000 0.5175 x1

## Properties
energy	-18.84	eV per formula unit
energy of formation	-174	meV per atom
calculated density	7.595	g/cm³
DOS at the Fermi energy	2.48	states/eV per cell

=====

This record from the Alexandria database describes a geometry-optimized Y4TlAg5 structure. The functional is PBE.

a b c (Å): 3.6755 3.6755 17.7187
angles (deg): 90.00 90.00 90.00
Space group P4/mmm (No. 123)
Inequivalent atoms, fractional coordinates:
Y 0.0000 0.0000 0.1028 x2
Y 0.0000 0.0000 0.3072 x2
Tl 0.0000 0.0000 0.5000 x1
Ag 0.5000 0.5000 0.0000 x1
Ag 0.5000 0.5000 0.2059 x2
Ag 0.5000 0.5000 0.4000 x2

## Properties
energy	-45.06	eV per formula unit
energy of formation	-259	meV per atom
calculated density	7.626	g/cm³
DOS at the Fermi energy	6.64	states/eV per cell